Entry from OQMD: a relaxed structure of LaCo2BP (GGA-PBE).

Total magnetic moment = 0.21 μB/cell
SG = I4mm
Calculated volume = 146.06 Å³/cell
Electronic total energy = -69.86 eV/cell

abc: 3.682 3.682 10.774
angles: 90.00 90.00 90.00
Element x y z (fractional)
La (0.000, 0.000, 0.000)
La (0.500, 0.500, 0.500)
Co (0.000, 0.500, 0.261)
Co (0.000, 0.500, 0.761)
Co (0.500, 0.000, 0.261)
Co (0.500, 0.000, 0.761)
B (0.000, 0.000, 0.335)
B (0.500, 0.500, 0.835)
P (0.000, 0.000, 0.647)
P (0.500, 0.500, 0.147)

=====

Entry from OQMD: a relaxed structure of La3Co2B2P3 (GGA-PBE).

Total magnetic moment = 0.00 μB/cell
SG = I4/mmm
Calculated volume = 185.20 Å³/cell
Electronic total energy = -66.77 eV/cell

abc: 11.549 11.549 11.549
angles: 159.71 159.71 28.86
Element x y z (fractional)
La (0.000, 0.000, 0.000)
La (0.358, 0.358, 0.000)
La (0.642, 0.642, 0.000)
Co (0.250, 0.750, 0.500)
Co (0.750, 0.250, 0.500)
B (0.216, 0.216, 0.000)
B (0.784, 0.784, 0.000)
P (0.129, 0.129, 0.000)
P (0.500, 0.500, 0.000)
P (0.871, 0.871, 0.000)

=====

Entry from OQMD: a relaxed structure of LaPr2Co2B2P3 (GGA-PBE).

Total magnetic moment = 0.00 μB/cell
SG = I4/mmm
Calculated volume = 183.34 Å³/cell
Electronic total energy = -66.20 eV/cell

abc: 11.533 11.533 11.533
angles: 159.77 159.77 28.76
Element x y z (fractional)
La (0.000, 0.000, 0.000)
Pr (0.359, 0.359, 0.000)
Pr (0.641, 0.641, 0.000)
Co (0.250, 0.750, 0.500)
Co (0.750, 0.250, 0.500)
B (0.217, 0.217, 0.000)
B (0.783, 0.783, 0.000)
P (0.129, 0.129, 0.000)
P (0.500, 0.500, 0.000)
P (0.871, 0.871, 0.000)

=====

Entry from OQMD: a relaxed structure of LiCoB4 (GGA-PBE).

Total magnetic moment = 0.32 μB/cell
SG = Immm
Calculated volume = 90.46 Å³/cell
Electronic total energy = -71.84 eV/cell
E above lowest polymorph = 18 kJ/mol of formula units

abc: 2.986 5.101 5.939
angles: 90.00 90.00 90.00
Element x y z (fractional)
Li (0.000, 0.000, 0.000)
Li (0.500, 0.500, 0.500)
Co (0.000, 0.000, 0.500)
Co (0.500, 0.500, 0.000)
B (0.000, 0.339, 0.255)
B (0.000, 0.339, 0.745)
B (0.000, 0.661, 0.255)
B (0.000, 0.661, 0.745)
B (0.500, 0.161, 0.245)
B (0.500, 0.161, 0.755)
B (0.500, 0.839, 0.245)
B (0.500, 0.839, 0.755)

=====

Entry from OQMD: a relaxed structure of LiCoB2 (GGA-PBE).

Total magnetic moment = 0.03 μB/cell
SG = F-43m
Calculated volume = 118.04 Å³/cell
Electronic total energy = -82.27 eV/cell

abc: 4.905 4.905 4.905
angles: 90.00 90.00 90.00
Element x y z (fractional)
Li (0.000, 0.000, 0.000)
Li (0.000, 0.500, 0.500)
Li (0.500, 0.000, 0.500)
Li (0.500, 0.500, 0.000)
Co (0.250, 0.250, 0.250)
Co (0.250, 0.750, 0.750)
Co (0.750, 0.250, 0.750)
Co (0.750, 0.750, 0.250)
B (0.000, 0.000, 0.500)
B (0.000, 0.500, 0.000)
B (0.250, 0.250, 0.750)
B (0.250, 0.750, 0.250)
B (0.500, 0.000, 0.000)
B (0.500, 0.500, 0.500)
B (0.750, 0.250, 0.250)
B (0.750, 0.750, 0.750)

=====

Entry from OQMD: a relaxed structure of Li2CoB (GGA-PBE).

Total magnetic moment = 0.00 μB/cell
SG = F-43m
Calculated volume = 142.69 Å³/cell
Electronic total energy = -67.58 eV/cell

abc: 5.225 5.225 5.225
angles: 90.00 90.00 90.00
Element x y z (fractional)
Li (0.000, 0.000, 0.000)
Li (0.000, 0.500, 0.500)
Li (0.250, 0.250, 0.250)
Li (0.250, 0.750, 0.750)
Li (0.500, 0.000, 0.500)
Li (0.500, 0.500, 0.000)
Li (0.750, 0.250, 0.750)
Li (0.750, 0.750, 0.250)
Co (0.250, 0.250, 0.750)
Co (0.250, 0.750, 0.250)
Co (0.750, 0.250, 0.250)
Co (0.750, 0.750, 0.750)
B (0.000, 0.000, 0.500)
B (0.000, 0.500, 0.000)
B (0.500, 0.000, 0.000)
B (0.500, 0.500, 0.500)

=====

Entry from OQMD: a relaxed structure of LiCoB4 (GGA-PBE).

Total magnetic moment = 0.08 μB/cell
SG = P6/mmm
Calculated volume = 49.52 Å³/cell
Electronic total energy = -36.10 eV/cell
E above lowest polymorph = 0 kJ/mol of formula units

abc: 2.963 2.963 6.512
angles: 90.00 90.00 120.00
Element x y z (fractional)
Li (0.000, 0.000, 0.000)
Co (0.000, 0.000, 0.500)
B (0.333, 0.667, 0.282)
B (0.333, 0.667, 0.718)
B (0.667, 0.333, 0.282)
B (0.667, 0.333, 0.718)

=====

Entry from OQMD: a relaxed structure of LiCo2B (GGA-PBE).

Total magnetic moment = 10.00 μB/cell
SG = F-43m
Calculated volume = 146.85 Å³/cell
Electronic total energy = -87.90 eV/cell

abc: 5.276 5.276 5.276
angles: 90.00 90.00 90.00
Element x y z (fractional)
Li (0.000, 0.000, 0.000)
Li (0.000, 0.500, 0.500)
Li (0.500, 0.000, 0.500)
Li (0.500, 0.500, 0.000)
Co (0.000, 0.000, 0.500)
Co (0.000, 0.500, 0.000)
Co (0.250, 0.250, 0.250)
Co (0.250, 0.750, 0.750)
Co (0.500, 0.000, 0.000)
Co (0.500, 0.500, 0.500)
Co (0.750, 0.250, 0.750)
Co (0.750, 0.750, 0.250)
B (0.250, 0.250, 0.750)
B (0.250, 0.750, 0.250)
B (0.750, 0.250, 0.250)
B (0.750, 0.750, 0.750)